Crystalline FeSeBr at its relaxed geometry, computed with PBE.

Cell lengths 3.4930, 3.4930, 6.4452 Å; angles 90.00, 90.00, 120.00 degrees
Space group P3m1 (No. 156)
Unique sites:
Fe  0.0000  0.0000  0.0000
Se  0.3333  0.6667  0.1909
Br  0.6667  0.3333  0.7624

Output
- total moment (μB/f.u.) = 1.00
- electronic total energy (eV for the cell shown) = -14.27



Crystalline FeSe2Br at its relaxed geometry, computed with PBE.

Cell lengths 4.1406, 4.1521, 10.4855 Å; angles 90.00, 90.00, 90.00 degrees
Space group Cmmm (No. 65)
Unique sites:
Fe  0.0000  0.0000  0.0000
Se  0.0000  0.5000  0.1475
Br  0.0000  0.0000  0.5000

Output
- total moment (μB/f.u.) = 1.82
- energy above the lowest structure with this stoichiometry (eV per atom) = 0.231
- electronic total energy (eV for the cell shown) = -33.50



Crystalline FeSe2Br at its relaxed geometry, computed with PBE.

Cell lengths 3.3400, 3.3400, 27.4775 Å; angles 90.00, 90.00, 120.00 degrees
Space group R3m (No. 160, hexagonal axes)
Unique sites:
Fe  0.0000  0.0000  0.0000
Se  0.0000  0.0000  0.4747
Se  0.0000  0.0000  0.7168
Br  0.0000  0.0000  0.2748

Output
- total moment (μB/f.u.) = 1.35
- energy above the lowest structure with this stoichiometry (eV per atom) = 0.251
- electronic total energy (eV for the cell shown) = -50.01



Crystalline FeSe2Br at its relaxed geometry, computed with PBE.

Cell lengths 4.9730, 3.5752, 5.1495 Å; angles 90.00, 107.63, 90.00 degrees
Space group P2/m (No. 10)
Unique sites:
Fe  0.0000  0.0000  0.0000
Se  0.3500  0.5000  0.1471
Br  0.0000  0.0000  0.5000

Output
- total moment (μB/f.u.) = 2.24
- energy above the lowest structure with this stoichiometry (eV per atom) = 0.000
- electronic total energy (eV for the cell shown) = -17.67



Crystalline FeSe2Br at its relaxed geometry, computed with PBE.

Cell lengths 6.8021, 6.8021, 6.8021 Å; angles 90.00, 90.00, 90.00 degrees
Space group F-43m (No. 216)
Unique sites:
Fe  0.0000  0.0000  0.0000
Se  0.0000  0.0000  0.5000
Se  0.2500  0.2500  0.2500
Br  0.2500  0.2500  0.7500

Output
- total moment (μB/f.u.) = 3.04
- energy above the lowest structure with this stoichiometry (eV per atom) = 0.807
- electronic total energy (eV for the cell shown) = -57.77



Crystalline FeSeBr3 at its relaxed geometry, computed with PBE.

Cell lengths 4.8441, 4.8441, 4.8441 Å; angles 90.00, 90.00, 90.00 degrees
Space group Pm-3m (No. 221)
Unique sites:
Fe  0.0000  0.0000  0.0000
Se  0.5000  0.5000  0.5000
Br  0.0000  0.0000  0.5000

Output
- total moment (μB/f.u.) = 0.05
- energy above the lowest structure with this stoichiometry (eV per atom) = 0.000
- electronic total energy (eV for the cell shown) = -14.83



Crystalline FeSe2Br at its relaxed geometry, computed with PBE.

Cell lengths 2.7753, 6.9631, 11.7718 Å; angles 90.00, 90.00, 90.00 degrees
Space group Immm (No. 71)
Unique sites:
Fe  0.0000  0.0000  0.0000
Se  0.0000  0.5000  0.3384
Br  0.0000  0.0000  0.5000

Output
- total moment (μB/f.u.) = 3.44
- energy above the lowest structure with this stoichiometry (eV per atom) = 0.140
- electronic total energy (eV for the cell shown) = -34.23



Crystalline FeSe2Br at its relaxed geometry, computed with PBE.

Cell lengths 3.7416, 3.7521, 6.7689 Å; angles 90.00, 90.00, 90.00 degrees
Space group Pmmm (No. 47)
Unique sites:
Fe  0.0000  0.0000  0.0000
Se  0.0000  0.5000  0.5000
Se  0.5000  0.0000  0.5000
Br  0.5000  0.5000  0.0000

Output
- total moment (μB/f.u.) = 3.53
- energy above the lowest structure with this stoichiometry (eV per atom) = 0.514
- electronic total energy (eV for the cell shown) = -15.61



Crystalline FeSe2Br at its relaxed geometry, computed with PBE.

Cell lengths 5.1553, 3.3166, 6.7748 Å; angles 90.00, 99.78, 90.00 degrees
Space group Pm (No. 6)
Unique sites:
Fe  0.0000  0.0000  0.0000
Se  0.2591  0.5000  0.8616
Se  0.6453  0.0000  0.7461
Br  0.9294  0.5000  0.2564

Output
- total moment (μB/f.u.) = 3.04
- energy above the lowest structure with this stoichiometry (eV per atom) = 0.096
- electronic total energy (eV for the cell shown) = -17.29



Crystalline Fe4SeBr at its relaxed geometry, computed with PBE.

Cell lengths 7.2656, 7.2656, 7.2656 Å; angles 90.00, 90.00, 90.00 degrees
Space group F-43m (No. 216)
Unique sites:
Fe  0.1247  0.1247  0.1247
Se  0.2500  0.2500  0.7500
Br  0.0000  0.0000  0.5000

Output
- total moment (μB/f.u.) = 12.63
- electronic total energy (eV for the cell shown) = -141.92



Crystalline FeSe2Br at its relaxed geometry, computed with PBE.

Cell lengths 3.4342, 4.7483, 13.5303 Å; angles 90.00, 90.00, 90.00 degrees
Space group Imm2 (No. 44)
Unique sites:
Fe  0.0000  0.0000  0.0000
Se  0.0000  0.0000  0.5597
Se  0.0000  0.5000  0.6337
Br  0.0000  0.5000  0.3645

Output
- total moment (μB/f.u.) = 3.57
- energy above the lowest structure with this stoichiometry (eV per atom) = 0.141
- electronic total energy (eV for the cell shown) = -34.22



Crystalline FeSe2Br6 at its relaxed geometry, computed with PBE.

Cell lengths 17.8677, 12.0677, 8.2044 Å; angles 90.00, 116.73, 90.00 degrees
Space group C2/c (No. 15)
Unique sites:
Fe  0.0000  0.2459  0.2500
Se  0.2474  0.3647  0.6467
Br  0.0806  0.3593  0.5074
Br  0.0853  0.1327  0.1636
Br  0.2465  0.4943  0.4040

Output
- total moment (μB/f.u.) = 4.02
- electronic total energy (eV for the cell shown) = -108.67



Crystalline FeSe2Br at its relaxed geometry, computed with PBE.

Cell lengths 3.6498, 3.6498, 8.2168 Å; angles 90.00, 90.00, 90.00 degrees
Space group P4mm (No. 99)
Unique sites:
Fe  0.0000  0.0000  0.0000
Se  0.0000  0.0000  0.2892
Se  0.5000  0.5000  0.3737
Br  0.5000  0.5000  0.9023

Output
- total moment (μB/f.u.) = 3.27
- energy above the lowest structure with this stoichiometry (eV per atom) = 0.278
- electronic total energy (eV for the cell shown) = -16.56



Crystalline FeSe2Br at its relaxed geometry, computed with PBE.

Cell lengths 2.9779, 2.9779, 10.7403 Å; angles 90.00, 90.00, 90.00 degrees
Space group P4mm (No. 99)
Unique sites:
Fe  0.0000  0.0000  0.0000
Se  0.0000  0.0000  0.4774
Se  0.5000  0.5000  0.1402
Br  0.5000  0.5000  0.8349

Output
- total moment (μB/f.u.) = 2.85
- energy above the lowest structure with this stoichiometry (eV per atom) = 0.406
- electronic total energy (eV for the cell shown) = -16.05



Crystalline FeSeBr4 at its relaxed geometry, computed with PBE.

Cell lengths 8.6590, 8.6590, 8.6590 Å; angles 90.00, 90.00, 90.00 degrees
Space group F-43m (No. 216)
Unique sites:
Fe  0.0000  0.0000  0.0000
Se  0.2500  0.2500  0.7500
Br  0.1255  0.1255  0.3745

Output
- total moment (μB/f.u.) = 4.56
- electronic total energy (eV for the cell shown) = -47.90



Crystalline FeSe2Br at its relaxed geometry, computed with PBE.

Cell lengths 6.6113, 6.6113, 6.6113 Å; angles 90.00, 90.00, 90.00 degrees
Space group Fm-3m (No. 225)
Unique sites:
Fe  0.0000  0.0000  0.0000
Se  0.2500  0.2500  0.2500
Br  0.0000  0.0000  0.5000

Output
- total moment (μB/f.u.) = 0.00
- energy above the lowest structure with this stoichiometry (eV per atom) = 1.083
- electronic total energy (eV for the cell shown) = -53.36



Crystalline Fe4Se3Br at its relaxed geometry, computed with PBE.

Cell lengths 5.2408, 5.2408, 11.9288 Å; angles 90.00, 90.00, 90.00 degrees
Space group I4mm (No. 107)
Unique sites:
Fe  0.2485  0.2485  0.0000
Se  0.0000  0.0000  0.8839
Se  0.0000  0.5000  0.1151
Br  0.0000  0.0000  0.3837

Output
- total moment (μB/f.u.) = 0.00
- electronic total energy (eV for the cell shown) = -93.79



Crystalline FeSe2Br at its relaxed geometry, computed with PBE.

Cell lengths 4.8442, 11.3509, 3.5787 Å; angles 90.00, 90.00, 90.00 degrees
Space group Cmmm (No. 65)
Unique sites:
Fe  0.0000  0.0000  0.0000
Se  0.2500  0.2500  0.5000
Br  0.0000  0.5000  0.0000

Output
- total moment (μB/f.u.) = 3.77
- energy above the lowest structure with this stoichiometry (eV per atom) = 0.735
- electronic total energy (eV for the cell shown) = -29.47



Crystalline FeSeBr3 at its relaxed geometry, computed with PBE.

Cell lengths 5.3820, 5.3820, 5.3820 Å; angles 90.00, 90.00, 90.00 degrees
Space group Pm-3m (No. 221)
Unique sites:
Fe  0.0000  0.0000  0.0000
Se  0.5000  0.5000  0.5000
Br  0.0000  0.5000  0.5000

Output
- total moment (μB/f.u.) = 4.06
- energy above the lowest structure with this stoichiometry (eV per atom) = 0.239
- electronic total energy (eV for the cell shown) = -13.64



Crystalline FeSeBr at its relaxed geometry, computed with PBE.

Cell lengths 6.6222, 6.6222, 6.6222 Å; angles 90.00, 90.00, 90.00 degrees
Space group F-43m (No. 216)
Unique sites:
Fe  0.0000  0.0000  0.0000
Se  0.2500  0.2500  0.7500
Br  0.0000  0.0000  0.5000

Output
- total moment (μB/f.u.) = 3.99
- electronic total energy (eV for the cell shown) = -44.87